Record 1
Material: MnAs2RhN
Method: DFT, meta-GGA SCAN
State: single point on PBEsol structure

Values from the calculation:
formation energy (no corrections)	1.159	eV per formula unit

Lattice parameters (Å, degrees): 3.662 4.321 4.321 90.00 90.00 90.00
Atoms (fractional coordinates):
Mn 0.500 0.000 0.000
As 0.000 0.000 0.500
N 0.000 0.000 0.000
Rh 0.500 0.500 0.500
As 0.000 0.500 0.000

Record 2
Material: NiGeH2W
Method: DFT, meta-GGA SCAN
State: single point on PBEsol structure

Values from the calculation:
energy	-21.266	eV per atom

Lattice parameters (Å, degrees): 3.417 3.417 5.084 90.00 90.00 90.00
Atoms (fractional coordinates):
Ni 0.000 0.000 0.500
W 0.500 0.500 0.500
H 0.000 0.500 0.000
H 0.500 0.000 0.000
Ge 0.000 0.000 0.000

Record 3
Material: SnPdRu2O
Method: DFT, meta-GGA SCAN
State: single point on PBEsol structure

Values from the calculation:
formation energy (no corrections)	6.693	eV per formula unit

Lattice parameters (Å, degrees): 3.894 4.951 4.951 90.00 90.00 90.00
Atoms (fractional coordinates):
Pd 0.500 0.500 0.500
O 0.500 0.000 0.000
Ru 0.000 0.500 0.000
Sn 0.000 0.000 0.000
Ru 0.000 0.000 0.500

Record 4
Material: Ca2AlIn
Method: DFT, meta-GGA SCAN
State: single point on PBEsol structure

Values from the calculation:
E above lowest polymorph	0.0	kJ/mol of formula units
ΔH_f (0 K)	-390	meV per atom

Lattice parameters (Å, degrees): 5.273 5.273 5.273 60.00 60.00 60.00
Atoms (fractional coordinates):
Ca 0.250 0.250 0.250
Al 0.500 0.500 0.500
Ca 0.750 0.750 0.750
In 0.000 0.000 0.000

Record 5
Material: Li2TlTc
Method: DFT, meta-GGA SCAN
State: single point on PBEsol structure

Values from the calculation:
ΔH_f (0 K)	220	meV per atom

Lattice parameters (Å, degrees): 2.818 4.724 4.917 90.00 92.49 90.00
Atoms (fractional coordinates):
Tc 0.500 0.500 0.000
Li 0.780 0.000 0.784
Li 0.220 0.000 0.216
Tl 0.000 0.500 0.500

Record 6
Material: Na2NiO3
Method: DFT, meta-GGA SCAN
State: single point on PBEsol structure

Values from the calculation:
formation energy (no corrections)	-8.633	eV per formula unit

Lattice parameters (Å, degrees): 5.142 5.142 10.658 94.76 94.76 119.97
Atoms (fractional coordinates):
O 0.325 0.496 0.848
Na 0.686 0.843 0.000
Na 0.000 0.500 0.000
O 0.675 0.504 0.152
Ni 0.752 0.248 0.250
O 0.571 0.119 0.848
O 0.496 0.325 0.348
Ni 0.248 0.752 0.750
O 0.743 0.948 0.348
O 0.119 0.571 0.348
O 0.257 0.052 0.652
O 0.881 0.429 0.652
Na 0.914 0.086 0.750
Na 0.157 0.314 0.500
O 0.948 0.743 0.848
O 0.052 0.257 0.152
Na 0.843 0.686 0.500
Na 0.500 0.000 0.500
Na 0.086 0.914 0.250
O 0.429 0.881 0.152
Na 0.314 0.157 0.000
Ni 0.581 0.419 0.750
O 0.504 0.675 0.652
Ni 0.419 0.581 0.250

Record 7
Material: YZr2Te
Method: DFT, meta-GGA SCAN
State: single point on PBEsol structure

Values from the calculation:
formation energy (no corrections)	-1.819	eV per formula unit

Lattice parameters (Å, degrees): 3.738 3.738 6.730 90.00 90.00 90.00
Atoms (fractional coordinates):
Zr 0.000 0.000 0.015
Y 0.500 0.500 0.743
Zr 0.500 0.500 0.261
Te 0.000 0.000 0.482

Record 8
Material: ZnTcN2F
Method: DFT, meta-GGA SCAN
State: single point on PBEsol structure

Values from the calculation:
formation energy (no corrections)	0.061	eV per formula unit

Lattice parameters (Å, degrees): 3.813 3.813 4.073 90.00 90.00 90.00
Atoms (fractional coordinates):
F 0.000 0.000 0.500
N 0.000 0.500 0.000
Tc 0.000 0.000 0.000
Zn 0.500 0.500 0.500
N 0.500 0.000 0.000

Record 9
Material: P5Ir
Method: DFT, meta-GGA SCAN
State: single point on PBEsol structure

Values from the calculation:
ΔH_f (0 K)	242	meV per atom

Lattice parameters (Å, degrees): 3.207 5.695 6.388 108.91 90.00 106.36
Atoms (fractional coordinates):
P 0.626 0.252 0.291
P 0.353 0.706 0.677
P 0.576 0.152 0.830
P 0.016 0.033 0.397
P 0.295 0.591 0.974
Ir 0.967 0.934 0.997

Record 10
Material: CdTc2Ag
Method: DFT, meta-GGA SCAN
State: single point on PBEsol structure

Values from the calculation:
ΔH_f (0 K)	547	meV per atom

Lattice parameters (Å, degrees): 2.747 2.747 9.672 81.84 81.84 60.00
Atoms (fractional coordinates):
Cd 0.000 0.000 0.000
Ag 0.500 0.500 0.500
Tc 0.249 0.249 0.254
Tc 0.751 0.751 0.746

Record 11
Material: Li4MnF6
Method: DFT, meta-GGA SCAN
State: single point on PBEsol structure

Values from the calculation:
formation energy (no corrections)	-33.501	eV per formula unit

Lattice parameters (Å, degrees): 4.849 8.636 8.636 120.00 90.00 90.00
Atoms (fractional coordinates):
Li 0.000 0.000 0.347
F 0.260 0.453 0.906
F 0.273 0.427 0.213
F 0.273 0.787 0.213
F 0.771 0.880 0.120
Li 0.000 0.000 0.653
F 0.740 0.906 0.453
F 0.229 0.760 0.880
F 0.260 0.453 0.547
F 0.727 0.213 0.427
Li 0.500 0.683 0.000
F 0.273 0.787 0.573
F 0.229 0.120 0.880
Li 0.500 0.000 0.683
F 0.229 0.120 0.240
F 0.740 0.547 0.094
Li 0.000 0.653 0.653
F 0.740 0.547 0.453
Mn 0.000 0.000 0.000
Mn 0.507 0.667 0.333
F 0.771 0.240 0.120
Li 0.500 0.317 0.317
F 0.260 0.094 0.547
F 0.727 0.573 0.787
Li 0.500 0.317 0.000
Mn 0.493 0.333 0.667
F 0.771 0.880 0.760
F 0.727 0.213 0.787
Li 0.000 0.347 0.347
Li 0.500 0.683 0.683
Li 0.000 0.347 0.000
Li 0.500 0.000 0.317
Li 0.000 0.653 0.000

Record 12
Material: Mn5Mo
Method: DFT, meta-GGA SCAN
State: single point on PBEsol structure

Values from the calculation:
ΔH_f (0 K)	24	meV per atom

Lattice parameters (Å, degrees): 4.593 4.593 4.593 60.00 60.00 60.00
Atoms (fractional coordinates):
Mn 0.623 0.623 0.623
Mn 0.623 0.130 0.623
Mn 0.130 0.623 0.623
Mo 0.000 0.000 0.000
Mn 0.623 0.623 0.130
Mn 0.250 0.250 0.250

no.,V (A^3/atom),total magnetic moment (μB/cell)
1,13.67,3.65
2,11.87,1.56
3,19.09,4.77
4,25.92,0.00
5,16.35,0.00
6,10.03,0.00
7,23.51,0.76
8,11.85,0.00
9,17.56,0.00
10,15.59,0.00
11,9.49,15.00
12,11.42,0.80